Entry 1:
Below is crystalline Th2Al2Ga4Co at its relaxed geometry, with properties calculated at the PBE level.

total magnetic moment = 0.00 μB/f.u.
calculated density = 8.2 Mg/m³
N(E_F) = 2.88 states/eV/cell
DFT formation energy = -0.4763 eV/atom
VASP energy = -5.092 eV per atom

POSCAR file:
```
Th2Al2Ga4Co
1.0
-3.146 3.146 4.390
3.146 -3.146 4.390
3.146 3.146 -4.390
Th Al Ga Co
2 2 4 1
Cartesian
3.146 0.000 2.195
0.000 3.146 2.195
0.000 0.000 1.948
0.000 0.000 6.831
1.399 1.399 0.000
1.747 -1.747 4.390
-1.747 1.747 4.390
1.747 1.747 4.390
0.000 0.000 4.390
```

---

Entry 2:
Below is crystalline LaZnRu at its relaxed geometry, with properties calculated at the PBE level.

total magnetic moment = 0.00 μB/f.u.
calculated density = 6.8 Mg/m³
N(E_F) = 3.08 states/eV/cell
DFT formation energy = 0.6725 eV/atom
VASP energy = -4.487 eV per atom

POSCAR file:
```
LaZnRu
1.0
0.000 3.337 3.337
3.337 0.000 3.337
3.337 3.337 0.000
La Zn Ru
1 1 1
Cartesian
0.000 0.000 0.000
1.669 1.669 1.669
5.006 5.006 5.006
```

---

Entry 3:
Below is crystalline BaNaMg2Hg4 at its relaxed geometry, with properties calculated at the PBE level.

total magnetic moment = 0.00 μB/f.u.
calculated density = 7.7 Mg/m³
N(E_F) = 4.34 states/eV/cell
DFT formation energy = -0.3040 eV/atom
VASP energy = -1.259 eV per atom

POSCAR file:
```
BaNaMg2Hg4
1.0
2.526 1.459 9.840
-2.526 1.459 9.840
0.000 -2.917 9.840
Ba Na Mg Hg
1 1 2 4
Cartesian
0.000 0.000 0.000
0.000 0.000 14.761
0.000 0.000 6.878
0.000 0.000 22.643
0.000 0.000 3.738
0.000 0.000 11.718
0.000 0.000 17.803
0.000 0.000 25.783
```